Here is crystalline Ta2AgPt at its relaxed geometry from Alexandria via LeMat-Bulk. Energies are from PBE.

Summary:
Energy (eV/atom): -8.283
N(E_F) (states/eV/cell): 3.537
M_tot (μB per formula unit): 0.00

Unit cell a=3.3818 b=3.3818 c=6.0825 alpha=90.00 beta=90.00 gamma=90.00
Fractional coordinates of all 4 atoms:
Ta: 0.0000 0.0000 0.0000
Ta: 0.5000 0.5000 0.2712
Ag: 0.0000 0.0000 0.5206
Pt: 0.5000 0.5000 0.7791


Here is crystalline Rb2Pb3S4 at its relaxed geometry from Alexandria via LeMat-Bulk. Energies are from PBE.

Summary:
Formation energy without anion corrections (eV per atom): -0.668
M_tot (μB per formula unit): 0.00

Unit cell a=8.7281 b=8.7281 c=7.8533 alpha=92.21 beta=92.21 gamma=91.04
Fractional coordinates of all 18 atoms:
Rb: 0.0360 0.2533 0.1162
Rb: 0.2533 0.0360 0.6162
Rb: 0.7467 0.9640 0.3838
Rb: 0.9640 0.7467 0.8838
Pb: 0.2438 0.4896 0.5883
Pb: 0.2891 0.7109 0.2500
Pb: 0.4896 0.2438 0.0883
Pb: 0.5104 0.7562 0.9117
Pb: 0.7109 0.2891 0.7500
Pb: 0.7562 0.5104 0.4117
S: 0.0412 0.7236 0.4504
S: 0.2624 0.5110 0.9311
S: 0.2764 0.9588 0.0496
S: 0.4890 0.7376 0.5689
S: 0.5110 0.2624 0.4311
S: 0.7236 0.0412 0.9504
S: 0.7376 0.4890 0.0689
S: 0.9588 0.2764 0.5496


Here is crystalline Ba2SrGa at its relaxed geometry from Alexandria via LeMat-Bulk. Energies are from PBE.

Summary:
Excess energy over the best structure of this formula in the dataset (eV per formula unit): 0.45
N(E_F) (states/eV/cell): 4.930
M_tot (μB per formula unit): 0.00

Unit cell a=12.4986 b=12.4986 c=12.4986 alpha=19.99 beta=19.99 gamma=19.99
Fractional coordinates of all 4 atoms:
Ba: 0.2301 0.2301 0.2301
Ba: 0.7699 0.7699 0.7699
Sr: 0.0000 0.0000 0.0000
Ga: 0.5000 0.5000 0.5000